(1)
VASP calculation (PBE) on SrPBr2 after structural relaxation.

* uncorrected formation energy: -610.0 meV per atom
* space group: No. 122
* total DFT energy (no corrections): -0.2366 Ry/atom
* D(E_F): 0.640 states/eV per atom

a = 10.2656 Å, b = 10.2656 Å, c = 10.2656 Å
α = 151.48°, β = 151.48°, γ = 40.77°
Closest atoms and distances in Å follow each position.
Fractional coordinates of all 8 atoms:
Sr 0.0000 0.0000 0.0000  4 Br 3.07
Sr 0.7500 0.2500 0.5000  4 Br 3.07
P 0.2500 0.7500 0.5000  4 Br 2.94
P 0.5000 0.5000 0.0000  4 Br 2.94
Br 0.1556 0.6250 0.0306  2 P 2.94, 2 Sr 3.07
Br 0.3750 0.4056 0.5306  2 P 2.94, 2 Sr 3.07
Br 0.5944 0.1250 0.9694  2 P 2.94, 2 Sr 3.07
Br 0.8750 0.8444 0.4694  2 P 2.94, 2 Sr 3.07

---

(2)
VASP calculation (PBE) on Ba4AsPdBr2 after structural relaxation.

* uncorrected formation energy: -1337.9 meV per atom
* space group: No. 10
* total DFT energy (no corrections): -0.2902 Ry/atom
* D(E_F): 0.435 states/eV per atom

a = 8.2341 Å, b = 4.7083 Å, c = 8.4894 Å
α = 90.00°, β = 107.32°, γ = 90.00°
Closest atoms and distances in Å follow each position.
Fractional coordinates of all 8 atoms:
Ba 0.2404 0.0000 0.2213  1 As 3.24, 2 Pd 3.28, 3 Br 3.51-3.56
Ba 0.2570 0.5000 0.7892  1 Pd 3.15, 2 As 3.26
Ba 0.7430 0.5000 0.2108  1 Pd 3.15, 2 As 3.26
Ba 0.7596 0.0000 0.7787  1 As 3.24, 2 Pd 3.28, 3 Br 3.51-3.56
As 0.5000 0.0000 0.0000  6 Ba 3.24-3.26
Pd 0.0000 0.5000 0.0000  6 Ba 3.15-3.28
Br 0.0000 0.0000 0.5000  6 Ba 3.51-3.60
Br 0.5000 0.5000 0.5000  6 Ba 3.56-3.60

---

Q: What is the formula in the second record?
A: Ba4AsPdBr2